# 1
The following is a DFT calculation (PBE) of an optimized crystal structure of TiZnOs3.

Values from the calculation:
E_form: 1.616 eV per atom
Fermi-level density of states: 1.19 states/eV/atom
Spin magnetization: 0.000 μB per formula unit

Unit cell a=4.437 b=4.437 c=4.437 alpha=90.00 beta=90.00 gamma=90.00
Space group Pm-3m (No. 221)
Symmetry-distinct sites (fractional):
Ti (0.000, 0.000, 0.000) (multiplicity 1)
Zn (0.500, 0.500, 0.500) (multiplicity 1)
Os (0.000, 0.500, 0.500) (multiplicity 3)

# 2
The following is a DFT calculation (PBE) of an optimized crystal structure of Na3FeI.

Values from the calculation:
Fermi-level density of states: 0.76 states/eV/atom
Spin magnetization: 3.593 μB per formula unit
Formation energy (no corrections): 0.39 eV per atom

Unit cell a=5.740 b=5.740 c=5.740 alpha=90.00 beta=90.00 gamma=90.00
Space group Pm-3m (No. 221)
Symmetry-distinct sites (fractional):
Na (0.000, 0.000, 0.500) (multiplicity 3)
Fe (0.000, 0.000, 0.000) (multiplicity 1)
I (0.500, 0.500, 0.500) (multiplicity 1)

# 3
The following is a DFT calculation (PBE) of an optimized crystal structure of MnGaBRuSe.

Values from the calculation:
Fermi-level density of states: 0.44 states/eV/atom
Spin magnetization: 1.987 μB per formula unit
Formation energy (no corrections): -0.07 eV per atom

Unit cell a=16.821 b=3.012 c=2.914 alpha=90.00 beta=99.80 gamma=90.00
Space group Cm (No. 8)
Symmetry-distinct sites (fractional):
Mn (0.000, 0.000, 0.000) (multiplicity 2)
Ga (0.276, 0.500, 0.279) (multiplicity 2)
B (0.455, 0.000, 0.456) (multiplicity 2)
Ru (0.363, 0.000, 0.866) (multiplicity 2)
Se (0.114, 0.500, 0.108) (multiplicity 2)

# 4
The following is a DFT calculation (PBE) of an optimized crystal structure of CaAlBr2N.

Values from the calculation:
Fermi-level density of states: 0.05 states/eV/atom
Spin magnetization: 2.000 μB per formula unit
Formation energy (no corrections): -0.08 eV per atom

Unit cell a=5.765 b=5.765 c=4.738 alpha=90.00 beta=90.00 gamma=90.00
Space group P4/mmm (No. 123)
Symmetry-distinct sites (fractional):
Ca (0.000, 0.000, 0.000) (multiplicity 1)
Al (0.500, 0.500, 0.500) (multiplicity 1)
Br (0.000, 0.500, 0.000) (multiplicity 2)
N (0.000, 0.000, 0.500) (multiplicity 1)